Here is a relaxed Hf2MnSbO8 crystal from the Alexandria database. Energies are from PBE+U.

Calculated values
V   11.906 A^3/atom
Total magnetization   0.17 μB per atom

a b c (Å): 4.7532 4.7532 6.3240
angles (deg): 90.00 90.00 90.66
Closest atoms and distances in Å follow each position.
Sites, in units of the cell vectors:
Hf 0.0000 0.0000 0.2429  6 O 2.05-2.11
Hf 0.0000 0.0000 0.7571  6 O 2.05-2.11
Mn 0.5000 0.5000 0.0000  6 O 1.98-2.04
Sb 0.5000 0.5000 0.5000  6 O 2.02
O 0.1980 0.1980 0.5000  1 Sb 2.02, 2 Hf 2.10
O 0.2032 0.2032 0.0000  1 Mn 1.98, 2 Hf 2.05
O 0.3114 0.6886 0.2522  1 Sb 2.02, 1 Mn 2.04, 1 Hf 2.11
O 0.3114 0.6886 0.7478  1 Sb 2.02, 1 Mn 2.04, 1 Hf 2.11
O 0.6886 0.3114 0.2522  1 Sb 2.02, 1 Mn 2.04, 1 Hf 2.11
O 0.6886 0.3114 0.7478  1 Sb 2.02, 1 Mn 2.04, 1 Hf 2.11
O 0.7968 0.7968 0.0000  1 Mn 1.98, 2 Hf 2.05
O 0.8020 0.8020 0.5000  1 Sb 2.02, 2 Hf 2.10

***

Here is a relaxed Hf2MnSiO crystal from the Alexandria database. Energies are from PBE+U.

Calculated values
V   17.880 A^3/atom
Total magnetization   0.36 μB per atom

a b c (Å): 5.0367 5.0367 3.5241
angles (deg): 90.00 90.00 90.00
Closest atoms and distances in Å follow each position.
Sites, in units of the cell vectors:
Hf 0.0000 0.5000 0.0000  2 Mn 2.52
Hf 0.5000 0.0000 0.0000  2 Mn 2.52
Mn 0.0000 0.0000 0.0000  2 O 1.76
Si 0.5000 0.5000 0.5000  8 Hf 3.07
O 0.0000 0.0000 0.5000  2 Mn 1.76

***

Here is a relaxed HfMn2SiO6 crystal from the Alexandria database. Energies are from PBE+U.

Calculated values
V   10.648 A^3/atom
Total magnetization   1.00 μB per atom

a b c (Å): 5.4138 5.4138 5.4138
angles (deg): 57.78 57.78 57.78
Closest atoms and distances in Å follow each position.
Sites, in units of the cell vectors:
Hf 0.0000 0.0000 0.0000  6 O 2.05-2.13
Mn 0.2709 0.2709 0.2709  6 O 2.15-2.41
Mn 0.7759 0.7759 0.7759  3 O 2.13
Si 0.4971 0.4971 0.4971  6 O 1.80-1.85
O 0.1618 0.7136 0.3638  1 Si 1.85, 1 Hf 2.05
O 0.2538 0.6273 0.8256  1 Si 1.80
O 0.3638 0.1618 0.7136  1 Si 1.85, 1 Hf 2.05
O 0.6273 0.8256 0.2538  1 Si 1.80
O 0.7136 0.3638 0.1618  1 Si 1.85, 1 Hf 2.05
O 0.8256 0.2538 0.6273  1 Si 1.80

***

Here is a relaxed HfMn2SnO6 crystal from the Alexandria database. Energies are from PBE+U.

Calculated values
V   12.314 A^3/atom
Total magnetization   1.00 μB per atom

a b c (Å): 5.7367 5.7367 5.7367
angles (deg): 56.64 56.64 56.64
Closest atoms and distances in Å follow each position.
Sites, in units of the cell vectors:
Hf 0.0000 0.0000 0.0000  6 O 2.05-2.15
Mn 0.2156 0.2156 0.2156  6 O 2.15-2.35
Mn 0.7184 0.7184 0.7184  6 O 2.14-2.39
Sn 0.5015 0.5015 0.5015  6 O 2.07-2.14
O 0.1280 0.3808 0.7841  1 Sn 2.07, 1 Mn 2.14, 1 Hf 2.15
O 0.2822 0.8814 0.6284  1 Hf 2.05, 1 Sn 2.14, 1 Mn 2.15
O 0.3808 0.7841 0.1280  1 Sn 2.07, 1 Mn 2.14, 1 Hf 2.15
O 0.6284 0.2821 0.8814  1 Hf 2.05, 1 Sn 2.14, 1 Mn 2.15
O 0.7841 0.1280 0.3808  1 Sn 2.07, 1 Mn 2.14, 1 Hf 2.15
O 0.8814 0.6284 0.2821  1 Hf 2.05, 1 Sn 2.14, 1 Mn 2.15

***

Here is a relaxed HfMnSnO6 crystal from the Alexandria database. Energies are from PBE+U.

Calculated values
V   11.715 A^3/atom
Total magnetization   0.33 μB per atom

a b c (Å): 4.7342 4.7342 9.4086
angles (deg): 90.00 90.00 90.00
Closest atoms and distances in Å follow each position.
Sites, in units of the cell vectors:
Hf 0.0000 0.0000 0.0000  6 O 2.07-2.09
Hf 0.5000 0.5000 0.5000  6 O 2.07-2.09
Mn 0.0000 0.0000 0.6669  6 O 1.95-1.96
Mn 0.5000 0.5000 0.1669  6 O 1.95-1.96
Sn 0.0000 0.0000 0.3326  6 O 2.08-2.10
Sn 0.5000 0.5000 0.8326  6 O 2.08-2.10
O 0.1883 0.1883 0.5089  1 Mn 1.95, 1 Sn 2.08, 1 Hf 2.09
O 0.1884 0.1884 0.8251  1 Mn 1.95, 1 Hf 2.07, 1 Sn 2.09
O 0.2076 0.2076 0.1652  1 Mn 1.96, 1 Hf 2.08, 1 Sn 2.10
O 0.2924 0.7076 0.6652  1 Mn 1.96, 1 Hf 2.08, 1 Sn 2.10
O 0.3117 0.6883 0.0089  1 Mn 1.95, 1 Sn 2.08, 1 Hf 2.09
O 0.3116 0.6884 0.3251  1 Mn 1.95, 1 Hf 2.07, 1 Sn 2.09
O 0.6883 0.3117 0.0089  1 Mn 1.95, 1 Sn 2.08, 1 Hf 2.09
O 0.6884 0.3116 0.3251  1 Mn 1.95, 1 Hf 2.07, 1 Sn 2.09
O 0.7076 0.2924 0.6652  1 Mn 1.96, 1 Hf 2.08, 1 Sn 2.10
O 0.7924 0.7924 0.1652  1 Mn 1.96, 1 Hf 2.08, 1 Sn 2.10
O 0.8117 0.8117 0.5089  1 Mn 1.95, 1 Sn 2.08, 1 Hf 2.09
O 0.8116 0.8116 0.8251  1 Mn 1.95, 1 Hf 2.07, 1 Sn 2.09

***

Here is a relaxed Sr3HfMn2O9 crystal from the Alexandria database. Energies are from PBE+U.

Calculated values
V   12.314 A^3/atom
Total magnetization   0.40 μB per atom

a b c (Å): 5.5738 5.5738 6.8655
angles (deg): 90.00 90.00 120.00
Closest atoms and distances in Å follow each position.
Sites, in units of the cell vectors:
Sr 0.0000 0.0000 0.0000  12 O 2.78-2.79
Sr 0.3333 0.6667 0.6858  12 O 2.69-2.93
Sr 0.6667 0.3333 0.3142  12 O 2.69-2.93
Hf 0.0000 0.0000 0.5000  6 O 2.05
Mn 0.3333 0.6667 0.1637  6 O 1.91-1.96
Mn 0.6667 0.3333 0.8363  6 O 1.91-1.96
O 0.0000 0.5000 0.0000  2 Mn 1.96
O 0.1721 0.3443 0.3244  1 Mn 1.91, 1 Hf 2.05
O 0.1721 0.8279 0.3244  1 Mn 1.91, 1 Hf 2.05
O 0.3443 0.1721 0.6756  1 Mn 1.91, 1 Hf 2.05
O 0.5000 0.0000 0.0000  2 Mn 1.96
O 0.5000 0.5000 0.0000  2 Mn 1.96
O 0.6557 0.8279 0.3244  1 Mn 1.91, 1 Hf 2.05
O 0.8279 0.1721 0.6756  1 Mn 1.91, 1 Hf 2.05
O 0.8279 0.6557 0.6756  1 Mn 1.91, 1 Hf 2.05

***

Here is a relaxed Sr3Hf2MnO9 crystal from the Alexandria database. Energies are from PBE+U.

Calculated values
V   13.166 A^3/atom
Total magnetization   0.20 μB per atom

a b c (Å): 5.7072 5.7072 7.0013
angles (deg): 90.00 90.00 120.00
Closest atoms and distances in Å follow each position.
Sites, in units of the cell vectors:
Sr 0.0000 0.0000 0.0000  12 O 2.85-2.87
Sr 0.3333 0.6667 0.6618  12 O 2.82-2.88
Sr 0.6667 0.3333 0.3382  12 O 2.82-2.88
Hf 0.3333 0.6667 0.1749  6 O 2.05-2.07
Hf 0.6667 0.3333 0.8251  6 O 2.05-2.07
Mn 0.0000 0.0000 0.5000  6 O 1.94
O 0.0000 0.5000 0.0000  2 Hf 2.05
O 0.1605 0.3210 0.3416  1 Mn 1.94, 1 Hf 2.07
O 0.1605 0.8395 0.3416  1 Mn 1.94, 1 Hf 2.07
O 0.3210 0.1605 0.6584  1 Mn 1.94, 1 Hf 2.07
O 0.5000 0.0000 0.0000  2 Hf 2.05
O 0.5000 0.5000 0.0000  2 Hf 2.05
O 0.6790 0.8395 0.3416  1 Mn 1.94, 1 Hf 2.07
O 0.8395 0.1605 0.6584  1 Mn 1.94, 1 Hf 2.07
O 0.8395 0.6790 0.6584  1 Mn 1.94, 1 Hf 2.07

***

Here is a relaxed HfTaMnO6 crystal from the Alexandria database. Energies are from PBE+U.

Calculated values
V   12.003 A^3/atom
Total magnetization   0.44 μB per atom

a b c (Å): 4.8296 4.8296 9.2625
angles (deg): 90.00 90.00 90.00
Closest atoms and distances in Å follow each position.
Sites, in units of the cell vectors:
Hf 0.0000 0.0000 0.0000  6 O 2.07-2.12
Hf 0.5000 0.5000 0.5000  6 O 2.07-2.12
Ta 0.0000 0.0000 0.6675  6 O 1.94-2.05
Ta 0.5000 0.5000 0.1675  6 O 1.94-2.05
Mn 0.0000 0.0000 0.3327  6 O 2.00-2.13
Mn 0.5000 0.5000 0.8327  6 O 2.00-2.13
O 0.1890 0.1890 0.8241  1 Ta 1.94, 1 Hf 2.08, 1 Mn 2.13
O 0.1896 0.1896 0.4976  1 Mn 2.00, 1 Ta 2.04, 1 Hf 2.12
O 0.1994 0.1994 0.1686  1 Mn 2.04, 1 Ta 2.05, 1 Hf 2.07
O 0.3006 0.6994 0.6686  1 Mn 2.04, 1 Ta 2.05, 1 Hf 2.07
O 0.3104 0.6896 0.9976  1 Mn 2.00, 1 Ta 2.04, 1 Hf 2.12
O 0.3110 0.6890 0.3241  1 Ta 1.94, 1 Hf 2.08, 1 Mn 2.13
O 0.6890 0.3110 0.3241  1 Ta 1.94, 1 Hf 2.08, 1 Mn 2.13
O 0.6896 0.3104 0.9976  1 Mn 2.00, 1 Ta 2.04, 1 Hf 2.12
O 0.6994 0.3006 0.6686  1 Mn 2.04, 1 Ta 2.05, 1 Hf 2.07
O 0.8006 0.8006 0.1686  1 Mn 2.04, 1 Ta 2.05, 1 Hf 2.07
O 0.8104 0.8104 0.4976  1 Mn 2.00, 1 Ta 2.04, 1 Hf 2.12
O 0.8110 0.8110 0.8241  1 Ta 1.94, 1 Hf 2.08, 1 Mn 2.13

***

Here is a relaxed HfMnTeO6 crystal from the Alexandria database. Energies are from PBE+U.

Calculated values
V   12.831 A^3/atom
Total magnetization   0.56 μB per atom

a b c (Å): 5.3417 5.3417 9.3465
angles (deg): 90.00 90.00 120.00
Closest atoms and distances in Å follow each position.
Sites, in units of the cell vectors:
Hf 0.3333 0.6667 0.2500  6 O 2.10
Hf 0.6667 0.3333 0.7500  6 O 2.10
Mn 0.0000 0.0000 0.0000  6 O 2.29
Mn 0.0000 0.0000 0.5000  6 O 2.29
Te 0.3333 0.6667 0.7500  6 O 1.96
Te 0.6667 0.3333 0.2500  6 O 1.96
O 0.0196 0.3675 0.6352  1 Te 1.96, 1 Hf 2.10
O 0.0196 0.6521 0.8648  1 Te 1.96, 1 Hf 2.10
O 0.3479 0.3675 0.8648  1 Te 1.96, 1 Hf 2.10
O 0.3479 0.9804 0.6352  1 Te 1.96, 1 Hf 2.10
O 0.3675 0.0196 0.1352  1 Te 1.96, 1 Hf 2.10
O 0.3675 0.3479 0.3648  1 Te 1.96, 1 Hf 2.10
O 0.6325 0.6521 0.6352  1 Te 1.96, 1 Hf 2.10
O 0.6325 0.9804 0.8648  1 Te 1.96, 1 Hf 2.10
O 0.6521 0.0196 0.3648  1 Te 1.96, 1 Hf 2.10
O 0.6521 0.6325 0.1352  1 Te 1.96, 1 Hf 2.10
O 0.9804 0.3479 0.1352  1 Te 1.96, 1 Hf 2.10
O 0.9804 0.6325 0.3648  1 Te 1.96, 1 Hf 2.10

***

Here is a relaxed HfMn2TeO6 crystal from the Alexandria database. Energies are from PBE+U.

Calculated values
V   13.113 A^3/atom
Total magnetization   1.00 μB per atom

a b c (Å): 5.9525 5.9525 5.9525
angles (deg): 54.82 54.82 54.82
Closest atoms and distances in Å follow each position.
Sites, in units of the cell vectors:
Hf 0.0000 0.0000 0.0000  6 O 2.00-2.23
Mn 0.2958 0.2958 0.2958  6 O 2.22-2.29
Mn 0.7815 0.7815 0.7815  3 O 2.12
Te 0.5069 0.5069 0.5069  3 O 2.05
O 0.0850 0.7223 0.3725  1 Hf 2.00, 1 Mn 2.12
O 0.2142 0.6107 0.8778  1 Te 2.05, 1 Mn 2.22, 1 Hf 2.23
O 0.3725 0.0850 0.7223  1 Hf 2.00, 1 Mn 2.12
O 0.6107 0.8778 0.2142  1 Te 2.05, 1 Mn 2.22, 1 Hf 2.23
O 0.7223 0.3725 0.0850  1 Hf 2.00, 1 Mn 2.12
O 0.8778 0.2142 0.6107  1 Te 2.05, 1 Mn 2.22, 1 Hf 2.23

***

Here is a relaxed HfMnTl2O6 crystal from the Alexandria database. Energies are from PBE+U.

Calculated values
V   13.694 A^3/atom
Total magnetization   0.50 μB per atom

a b c (Å): 5.8939 5.8939 5.8939
angles (deg): 57.64 57.64 57.64
Closest atoms and distances in Å follow each position.
Sites, in units of the cell vectors:
Hf 0.0000 0.0000 0.0000  6 O 2.10-2.11
Mn 0.5005 0.5005 0.5005  6 O 2.22
Tl 0.2240 0.2240 0.2240  3 O 2.18
Tl 0.7755 0.7755 0.7755  3 O 2.18
O 0.1201 0.7768 0.3636  1 Hf 2.11, 1 Tl 2.18, 1 Mn 2.22
O 0.2252 0.6370 0.8807  1 Hf 2.10, 1 Tl 2.18, 1 Mn 2.22
O 0.3636 0.1201 0.7768  1 Hf 2.11, 1 Tl 2.18, 1 Mn 2.22
O 0.6370 0.8807 0.2252  1 Hf 2.10, 1 Tl 2.18, 1 Mn 2.22
O 0.7768 0.3636 0.1201  1 Hf 2.11, 1 Tl 2.18, 1 Mn 2.22
O 0.8807 0.2252 0.6370  1 Hf 2.10, 1 Tl 2.18, 1 Mn 2.22

***

Here is a relaxed HfMnTlO4 crystal from the Alexandria database. Energies are from PBE+U.

Calculated values
V   16.951 A^3/atom
Total magnetization   0.57 μB per atom

a b c (Å): 5.7261 5.7260 7.3944
angles (deg): 90.00 101.82 90.00
Closest atoms and distances in Å follow each position.
Sites, in units of the cell vectors:
Hf 0.1472 0.2500 0.4686  6 O 2.07-2.16
Hf 0.8528 0.7500 0.5314  6 O 2.07-2.16
Mn 0.4014 0.7500 0.6712  4 O 1.85-2.04
Mn 0.5986 0.2500 0.3288  4 O 1.85-2.04
Tl 0.1503 0.7500 0.1281  3 O 2.66-2.90
Tl 0.8497 0.2500 0.8719  3 O 2.66-2.90
O 0.1321 0.5147 0.6593  1 Mn 2.04, 2 Hf 2.08-2.16
O 0.1321 0.9853 0.6593  1 Mn 2.04, 2 Hf 2.08-2.16
O 0.2748 0.2500 0.2264  1 Mn 1.85, 1 Hf 2.07
O 0.4793 0.7500 0.4394  1 Mn 1.86
O 0.5207 0.2500 0.5606  1 Mn 1.86
O 0.7252 0.7500 0.7736  1 Mn 1.85, 1 Hf 2.07
O 0.8679 0.0147 0.3407  1 Mn 2.04, 2 Hf 2.08-2.16
O 0.8679 0.4853 0.3407  1 Mn 2.04, 2 Hf 2.08-2.16

***

Summary of E_tot in eV per atom
-8.337 -7.355 -8.469 -8.075 -7.800 -7.462 -8.076 -9.260 -7.550 -7.745 -6.856 -7.699
(order as listed above)